Entry 1:
Compound: Be2ZnBr
Source: Alexandria
Functional: PBE
Structure: relaxed

Results
* total magnetic moment: 0.00 μB per formula unit

Lattice parameters (Å, degrees): 6.8833 3.9803 5.7141 90.00 113.59 90.00
Sites, in units of the cell vectors:
Be: 0.1434 0.0000 0.4312
Be: 0.3566 0.5000 0.5688
Be: 0.6434 0.5000 0.4312
Be: 0.8566 0.0000 0.5688
Zn: 0.0000 0.5000 0.5000
Zn: 0.5000 0.0000 0.5000
Br: 0.0000 0.0000 0.0000
Br: 0.5000 0.5000 0.0000

Entry 2:
Compound: BeZnBr4
Source: Alexandria
Functional: PBE
Structure: relaxed

Results
* total magnetic moment: 2.55 μB per formula unit

Lattice parameters (Å, degrees): 6.3281 6.3281 6.3281 60.00 60.00 60.00
Sites, in units of the cell vectors:
Be: 0.0000 0.0000 0.0000
Zn: 0.2500 0.2500 0.2500
Br: 0.1260 0.6247 0.6247
Br: 0.6247 0.1260 0.6247
Br: 0.6247 0.6247 0.1260
Br: 0.6247 0.6247 0.6247

Number 1: DOS at the Fermi energy 0.2201 states/eV per atom, E_form (uncorrected) 0.038 eV/atom. Number 2: DOS at the Fermi energy 1.1890 states/eV per atom, E_form (uncorrected) 0.977 eV/atom.